Entry from Alexandria via LeMat-Bulk: an optimized crystal structure of Zn2CoP (PBE-GGA).

Geometry as extended XYZ:
```
4
Lattice="4.580 0.017 0.000 1.572 4.302 0.000 -3.076 -2.160 2.618" Properties=species:S:1:pos:R:3 pbc="T T T"
Co 3.076 2.160 0.000
P 2.290 0.009 1.309
Zn 0.000 0.000 0.000
Zn 0.786 2.151 1.309
```

* calculated formation energy: 0.086 eV/atom
* M_tot: 0.0543 μB per atom
* final energy: -3.680 eV/atom